The following is a PBE calculation of crystalline LiTeN2F at its relaxed geometry, from the Alexandria database.

Summary:
- ΔE to the lowest computed polymorph: 0 meV/atom
- VASP energy: -22.4 eV per cell
- Formation energy from raw total energies: 5.55 kcal/mol of atoms

Unit cell a=3.981 b=3.981 c=4.469 alpha=90.00 beta=90.00 gamma=90.00
Space group P4/mmm (No. 123)
Symmetry-distinct sites (fractional):
Li  0.000  0.000  0.000 (multiplicity 1)
Te  0.500  0.500  0.500 (multiplicity 1)
N  0.000  0.500  0.500 (multiplicity 2)
F  0.500  0.500  0.000 (multiplicity 1)

The following is a PBE calculation of crystalline Tb4Er2Sc3 at its relaxed geometry, from the Alexandria database.

Summary:
- ΔE to the lowest computed polymorph: 0 meV/atom
- VASP energy: -183.3 eV per cell

Unit cell a=13.149 b=13.059 c=6.198 alpha=90.00 beta=94.46 gamma=90.00
Space group C2/c (No. 15)
Symmetry-distinct sites (fractional):
Tb  0.107  0.201  0.118 (multiplicity 8)
Tb  0.127  0.316  0.612 (multiplicity 8)
Er  0.212  0.442  0.066 (multiplicity 8)
Sc  0.000  0.466  0.250 (multiplicity 4)
Sc  0.089  0.065  0.592 (multiplicity 8)

The following is a PBE calculation of crystalline Pm6TlSb2Te3 at its relaxed geometry, from the Alexandria database.

Summary:
- VASP energy: -125.6 eV per cell
- Formation energy from raw total energies: -27.44 kcal/mol of atoms

Unit cell a=19.587 b=4.457 c=9.045 alpha=90.00 beta=103.38 gamma=90.00
Space group C2/m (No. 12)
Symmetry-distinct sites (fractional):
Pm  0.001  0.000  0.247 (multiplicity 4)
Pm  0.164  0.500  0.087 (multiplicity 4)
Pm  0.169  0.500  0.578 (multiplicity 4)
Tl  0.000  0.500  0.000 (multiplicity 2)
Sb  0.167  0.000  0.333 (multiplicity 4)
Te  0.000  0.500  0.500 (multiplicity 2)
Te  0.168  0.000  0.833 (multiplicity 4)